(1)
Entry from Alexandria: a geometry-optimized LuAg2Hg structure (GGA-PBE).

Results
**E_tot**: -2.8016 eV per atom
**ΔH_f (0 K)**: -0.170 eV per atom

Cell lengths 4.395, 4.414, 4.414 Å; angles 90.00, 90.00, 90.00 degrees
Atoms (fractional coordinates):
Hg: 0.500 0.000 0.000
Ag: 0.000 0.500 0.000
Ag: 0.000 0.000 0.500
Lu: 0.500 0.500 0.500

(2)
Entry from Alexandria: a geometry-optimized LuMgAgHg structure (GGA-PBE).

Results
**E_tot**: -2.6892 eV per atom
**ΔH_f (0 K)**: -0.372 eV per atom

Cell lengths 4.940, 4.940, 4.940 Å; angles 60.00, 60.00, 60.00 degrees
Atoms (fractional coordinates):
Lu: 0.000 0.000 0.000
Hg: 0.750 0.750 0.750
Mg: 0.500 0.500 0.500
Ag: 0.250 0.250 0.250

(3)
Entry from Alexandria: a geometry-optimized LuMnAgHg structure (GGA-PBE).

Results
**E_tot**: -4.2739 eV per atom
**ΔH_f (0 K)**: -0.063 eV per atom

Cell lengths 4.867, 4.867, 4.867 Å; angles 60.00, 60.00, 60.00 degrees
Each line ends with the local moment (μB).
Atoms (fractional coordinates):
Ag: 0.250 0.250 0.250  -0.01
Hg: 0.750 0.750 0.750  0.02
Lu: 0.000 0.000 0.000  0.04
Mn: 0.500 0.500 0.500  -3.97

(4)
Entry from Alexandria: a geometry-optimized NaLuAgHg structure (GGA-PBE).

Results
**E_tot**: -2.4193 eV per atom
**ΔH_f (0 K)**: -0.171 eV per atom

Cell lengths 5.059, 5.059, 5.059 Å; angles 60.00, 60.00, 60.00 degrees
Atoms (fractional coordinates):
Lu: 0.500 0.500 0.500
Hg: 0.250 0.250 0.250
Ag: 0.750 0.750 0.750
Na: 0.000 0.000 0.000

(5)
Entry from Alexandria: a geometry-optimized LuAgHgPb structure (GGA-PBE).

Results
**E_tot**: -3.0550 eV per atom
**ΔH_f (0 K)**: -0.209 eV per atom

Cell lengths 5.115, 5.115, 5.115 Å; angles 60.00, 60.00, 60.00 degrees
Atoms (fractional coordinates):
Pb: 0.500 0.500 0.500
Hg: 0.000 0.000 0.000
Ag: 0.250 0.250 0.250
Lu: 0.750 0.750 0.750

(6)
Entry from Alexandria: a geometry-optimized LuAgHgPd structure (GGA-PBE).

Results
**E_tot**: -3.6754 eV per atom
**ΔH_f (0 K)**: -0.459 eV per atom

Cell lengths 4.813, 4.813, 4.813 Å; angles 60.00, 60.00, 60.00 degrees
Atoms (fractional coordinates):
Lu: 0.000 0.000 0.000
Ag: 0.250 0.250 0.250
Pd: 0.750 0.750 0.750
Hg: 0.500 0.500 0.500

(7)
Entry from Alexandria: a geometry-optimized LuPuAgHg structure (GGA-PBE).

Results
**E_tot**: -5.6538 eV per atom
**ΔH_f (0 K)**: -0.152 eV per atom

Cell lengths 5.198, 5.198, 5.198 Å; angles 60.00, 60.00, 60.00 degrees
Each line ends with the local moment (μB).
Atoms (fractional coordinates):
Hg: 0.250 0.250 0.250  -0.04
Ag: 0.750 0.750 0.750  -0.03
Lu: 0.000 0.000 0.000  -0.12
Pu: 0.500 0.500 0.500  -5.43

(8)
Entry from Alexandria: a geometry-optimized LuAgHgRh structure (GGA-PBE).

Results
**E_tot**: -4.1138 eV per atom
**ΔH_f (0 K)**: -0.357 eV per atom

Cell lengths 4.771, 4.771, 4.771 Å; angles 60.00, 60.00, 60.00 degrees
Atoms (fractional coordinates):
Lu: 0.500 0.500 0.500
Rh: 0.750 0.750 0.750
Ag: 0.250 0.250 0.250
Hg: 0.000 0.000 0.000

(9)
Entry from Alexandria: a geometry-optimized LuTiAgHg structure (GGA-PBE).

Results
**E_tot**: -4.0101 eV per atom
**ΔH_f (0 K)**: -0.118 eV per atom

Cell lengths 4.910, 4.910, 4.910 Å; angles 60.00, 60.00, 60.00 degrees
Each line ends with the local moment (μB).
Atoms (fractional coordinates):
Hg: 0.500 0.500 0.500  0.01
Lu: 0.750 0.750 0.750  0.12
Ti: 0.250 0.250 0.250  1.04
Ag: 0.000 0.000 0.000  0.03

(10)
Entry from Alexandria: a geometry-optimized LuTlAgHg structure (GGA-PBE).

Results
**E_tot**: -2.6885 eV per atom
**ΔH_f (0 K)**: -0.178 eV per atom

Cell lengths 5.040, 5.040, 5.040 Å; angles 60.00, 60.00, 60.00 degrees
Atoms (fractional coordinates):
Lu: 0.750 0.750 0.750
Tl: 0.000 0.000 0.000
Ag: 0.250 0.250 0.250
Hg: 0.500 0.500 0.500

(11)
Entry from Alexandria: a geometry-optimized Mg3Ag3Hg structure (GGA-PBE).

Results
**E_tot**: -2.1234 eV per atom
**ΔH_f (0 K)**: -0.175 eV per atom
**Relative energy among the computed polymorphs**: 0.0 meV per atom

Cell lengths 4.836, 8.021, 8.021 Å; angles 120.00, 90.00, 90.00 degrees
Atoms (fractional coordinates):
Ag: 0.250 0.233 0.044
Ag: 0.250 0.811 0.767
Ag: 0.750 0.189 0.233
Ag: 0.250 0.956 0.189
Ag: 0.750 0.767 0.956
Ag: 0.750 0.044 0.811
Hg: 0.250 0.667 0.333
Hg: 0.750 0.333 0.667
Mg: 0.250 0.360 0.451
Mg: 0.250 0.091 0.640
Mg: 0.750 0.909 0.360
Mg: 0.750 0.451 0.091
Mg: 0.250 0.549 0.909
Mg: 0.750 0.640 0.549

(12)
Entry from Alexandria: a geometry-optimized MgAg2Hg structure (GGA-PBE).

Results
**E_tot**: -2.0292 eV per atom
**ΔH_f (0 K)**: -0.130 eV per atom

Cell lengths 5.285, 5.285, 5.285 Å; angles 133.94, 133.06, 67.87 degrees
Atoms (fractional coordinates):
Hg: 0.500 0.500 0.000
Ag: 0.750 0.250 0.500
Ag: 0.000 0.000 0.000
Mg: 0.250 0.750 0.500

(13)
Entry from Alexandria: a geometry-optimized MgAg3Hg structure (GGA-PBE).

Results
**E_tot**: -2.1280 eV per atom
**ΔH_f (0 K)**: -0.038 eV per atom
**Relative energy among the computed polymorphs**: 27.4 meV per atom

Cell lengths 4.605, 5.772, 7.748 Å; angles 90.00, 90.00, 90.00 degrees
Atoms (fractional coordinates):
Ag: 0.000 0.744 0.239
Ag: 0.500 0.244 0.761
Ag: 0.500 0.756 0.761
Ag: 0.000 0.000 0.918
Ag: 0.500 0.500 0.082
Ag: 0.000 0.256 0.239
Mg: 0.500 0.000 0.131
Mg: 0.000 0.500 0.869
Hg: 0.000 0.000 0.554
Hg: 0.500 0.500 0.446

(14)
Entry from Alexandria: a geometry-optimized Mg2Ag3Hg structure (GGA-PBE).

Results
**E_tot**: -2.1476 eV per atom
**ΔH_f (0 K)**: -0.140 eV per atom
**Relative energy among the computed polymorphs**: 17.4 meV per atom

Cell lengths 4.207, 6.724, 9.070 Å; angles 99.49, 103.06, 108.90 degrees
Atoms (fractional coordinates):
Hg: 0.007 0.877 0.129
Hg: 0.993 0.123 0.871
Ag: 0.666 0.708 0.623
Ag: 0.992 0.370 0.616
Ag: 0.337 0.542 0.130
Ag: 0.334 0.292 0.377
Ag: 0.008 0.630 0.384
Ag: 0.663 0.458 0.870
Mg: 0.340 0.053 0.629
Mg: 0.317 0.765 0.869
Mg: 0.660 0.947 0.371
Mg: 0.683 0.235 0.131

(15)
Entry from Alexandria: a geometry-optimized Mg4AgHg structure (GGA-PBE).

Results
**E_tot**: -1.6746 eV per atom
**ΔH_f (0 K)**: -0.086 eV per atom
**Relative energy among the computed polymorphs**: 61.7 meV per atom

Cell lengths 4.705, 4.707, 6.505 Å; angles 89.93, 89.97, 90.04 degrees
Atoms (fractional coordinates):
Mg: 0.001 0.498 0.254
Mg: 0.501 0.997 0.254
Mg: 0.501 0.997 0.742
Mg: 0.002 0.497 0.742
Ag: 0.001 0.997 0.498
Hg: 0.501 0.497 0.998

(16)
Entry from Alexandria: a geometry-optimized MgAg4Hg structure (GGA-PBE).

Results
**E_tot**: -2.1986 eV per atom
**ΔH_f (0 K)**: 0.018 eV per atom
**Relative energy among the computed polymorphs**: 87.9 meV per atom

Cell lengths 5.555, 5.555, 5.555 Å; angles 60.00, 60.00, 60.00 degrees
Atoms (fractional coordinates):
Mg: 0.000 0.000 0.000
Ag: 0.876 0.375 0.375
Ag: 0.375 0.375 0.876
Ag: 0.375 0.876 0.375
Ag: 0.375 0.375 0.375
Hg: 0.750 0.750 0.750

(17)
Entry from Alexandria: a geometry-optimized Mg2Ag3Hg structure (GGA-PBE).

Results
**E_tot**: -2.1650 eV per atom
**ΔH_f (0 K)**: -0.158 eV per atom
**Relative energy among the computed polymorphs**: 0.0 meV per atom

Cell lengths 4.222, 7.865, 8.680 Å; angles 123.47, 90.00, 105.57 degrees
Atoms (fractional coordinates):
Hg: 0.091 0.181 0.967
Hg: 0.909 0.819 0.033
Ag: 0.251 0.502 0.381
Ag: 0.585 0.170 0.706
Ag: 0.749 0.498 0.619
Ag: 0.918 0.836 0.542
Ag: 0.082 0.164 0.458
Ag: 0.415 0.830 0.294
Mg: 0.582 0.164 0.227
Mg: 0.243 0.486 0.853
Mg: 0.757 0.514 0.147
Mg: 0.418 0.836 0.773

(18)
Entry from Alexandria: a geometry-optimized MgAg2Hg structure (GGA-PBE).

Results
**E_tot**: -1.9915 eV per atom
**ΔH_f (0 K)**: -0.092 eV per atom

Cell lengths 5.343, 5.343, 4.807 Å; angles 71.28, 71.28, 36.72 degrees
Atoms (fractional coordinates):
Hg: 0.500 0.500 0.504
Mg: 0.253 0.253 0.241
Ag: 0.747 0.747 0.752
Ag: 0.000 0.000 0.003

(19)
Entry from Alexandria: a geometry-optimized Mg2Ag8Hg structure (GGA-PBE).

Results
**E_tot**: -2.4696 eV per atom
**ΔH_f (0 K)**: -0.079 eV per atom
**Relative energy among the computed polymorphs**: 0.0 meV per atom

Cell lengths 4.285, 6.759, 7.689 Å; angles 107.93, 106.18, 90.00 degrees
Atoms (fractional coordinates):
Ag: 0.142 0.192 0.285
Ag: 0.044 0.722 0.087
Ag: 0.318 0.092 0.637
Ag: 0.956 0.278 0.913
Ag: 0.858 0.808 0.715
Ag: 0.594 0.457 0.189
Ag: 0.682 0.908 0.363
Ag: 0.406 0.543 0.811
Hg: 0.500 0.000 0.000
Mg: 0.777 0.352 0.554
Mg: 0.223 0.648 0.446

(20)
Entry from Alexandria: a geometry-optimized Mg3Ag12Hg structure (GGA-PBE).

Results
**E_tot**: -2.5515 eV per atom
**ΔH_f (0 K)**: -0.095 eV per atom

Cell lengths 4.119, 4.119, 17.193 Å; angles 90.00, 90.00, 90.00 degrees
Atoms (fractional coordinates):
Ag: 0.000 0.500 0.870
Ag: 0.500 0.000 0.624
Ag: 0.500 0.500 0.500
Ag: 0.500 0.000 0.870
Ag: 0.500 0.000 0.130
Ag: 0.500 0.500 0.252
Ag: 0.500 0.500 0.000
Ag: 0.500 0.500 0.748
Ag: 0.000 0.500 0.376
Ag: 0.000 0.500 0.130
Ag: 0.500 0.000 0.376
Ag: 0.000 0.500 0.624
Hg: 0.000 0.000 0.000
Mg: 0.000 0.000 0.748
Mg: 0.000 0.000 0.252
Mg: 0.000 0.000 0.500

(21)
Entry from Alexandria: a geometry-optimized Mg2Ag9Hg structure (GGA-PBE).

Results
**E_tot**: -2.5049 eV per atom
**ΔH_f (0 K)**: -0.076 eV per atom

Cell lengths 4.150, 4.150, 12.745 Å; angles 90.00, 90.00, 90.00 degrees
Atoms (fractional coordinates):
Ag: 0.500 0.500 0.335
Ag: 0.500 0.000 0.828
Ag: 0.000 0.500 0.828
Ag: 0.500 0.500 0.665
Ag: 0.000 0.500 0.500
Ag: 0.500 0.500 0.000
Ag: 0.500 0.000 0.172
Ag: 0.500 0.000 0.500
Ag: 0.000 0.500 0.172
Hg: 0.000 0.000 0.000
Mg: 0.000 0.000 0.335
Mg: 0.000 0.000 0.665

(22)
Entry from Alexandria: a geometry-optimized Mg2AgHg structure (GGA-PBE).

Results
**E_tot**: -1.6831 eV per atom
**ΔH_f (0 K)**: -0.098 eV per atom

Cell lengths 4.813, 4.813, 4.813 Å; angles 60.00, 60.00, 60.00 degrees
Atoms (fractional coordinates):
Mg: 0.000 0.000 0.000
Mg: 0.750 0.750 0.750
Hg: 0.250 0.250 0.250
Ag: 0.500 0.500 0.500

(23)
Entry from Alexandria: a geometry-optimized Mg4AgHg5 structure (GGA-PBE).

Results
**E_tot**: -1.2334 eV per atom
**ΔH_f (0 K)**: -0.160 eV per atom

Cell lengths 3.467, 3.467, 17.559 Å; angles 90.00, 90.00, 90.00 degrees
Atoms (fractional coordinates):
Hg: 0.500 0.500 0.299
Hg: 0.500 0.500 0.902
Hg: 0.500 0.500 0.500
Hg: 0.500 0.500 0.098
Hg: 0.500 0.500 0.701
Mg: 0.000 0.000 0.400
Mg: 0.000 0.000 0.803
Mg: 0.000 0.000 0.600
Mg: 0.000 0.000 0.197
Ag: 0.000 0.000 0.000

(24)
Entry from Alexandria: a geometry-optimized Mg4AgHg structure (GGA-PBE).

Results
**E_tot**: -1.4963 eV per atom
**ΔH_f (0 K)**: 0.092 eV per atom
**Relative energy among the computed polymorphs**: 240.0 meV per atom

Cell lengths 5.699, 5.699, 5.699 Å; angles 60.00, 60.00, 60.00 degrees
Atoms (fractional coordinates):
Mg: 0.375 0.375 0.375
Mg: 0.375 0.375 0.875
Mg: 0.875 0.375 0.375
Mg: 0.375 0.875 0.375
Hg: 0.000 0.000 0.000
Ag: 0.750 0.750 0.750

(25)
Entry from Alexandria: a geometry-optimized Mg7Ag4Hg structure (GGA-PBE).

Results
**E_tot**: -1.9823 eV per atom
**ΔH_f (0 K)**: -0.077 eV per atom

Cell lengths 5.129, 7.947, 7.292 Å; angles 67.93, 69.41, 71.17 degrees
Atoms (fractional coordinates):
Mg: 0.754 0.278 0.214
Mg: 0.500 0.000 0.000
Mg: 0.925 0.415 0.736
Mg: 0.075 0.585 0.264
Mg: 0.200 0.128 0.472
Mg: 0.800 0.872 0.528
Mg: 0.246 0.722 0.786
Ag: 0.552 0.290 0.606
Ag: 0.684 0.641 0.990
Ag: 0.448 0.710 0.394
Ag: 0.316 0.359 0.010
Hg: 0.000 0.000 0.000

(26)
Entry from Alexandria: a geometry-optimized MgAg2Hg structure (GGA-PBE).

Results
**E_tot**: -2.0063 eV per atom
**ΔH_f (0 K)**: -0.107 eV per atom

Cell lengths 4.765, 4.765, 4.765 Å; angles 60.00, 60.00, 60.00 degrees
Atoms (fractional coordinates):
Mg: 0.750 0.750 0.750
Ag: 0.250 0.250 0.250
Ag: 0.000 0.000 0.000
Hg: 0.500 0.500 0.500